The following is a PBE calculation of BaAgNO after structural relaxation, from the Open Quantum Materials Database.

Final energy ... -38.48 eV for the cell shown

Cell lengths 4.3075, 4.3075, 8.7754 Å; angles 90.00, 90.00, 90.00 degrees
With the nearest neighbours (Å) after each atom.
Element x y z (fractional)
Ba 0.2500 0.2500 0.1500  4 O 2.52
Ba 0.7500 0.7500 0.8500  4 O 2.52
Ag 0.2500 0.7500 0.5000  4 N 2.20
Ag 0.7500 0.2500 0.5000  4 N 2.20
N 0.2500 0.2500 0.5520  4 Ag 2.20
N 0.7500 0.7500 0.4480  4 Ag 2.20
O 0.2500 0.7500 0.0000  4 Ba 2.52
O 0.7500 0.2500 0.0000  4 Ba 2.52

The following is a PBE calculation of NdAgPbSe3 after structural relaxation, from the Open Quantum Materials Database.

Final energy ... -55.09 eV for the cell shown

Cell lengths 9.4912, 9.4912, 8.6978 Å; angles 103.21, 103.21, 25.44 degrees
With the nearest neighbours (Å) after each atom.
Element x y z (fractional)
Nd 0.1648 0.1648 0.0947  6 Se 2.95-2.98
Nd 0.8352 0.8352 0.9053  6 Se 2.95-2.98
Ag 0.4682 0.4682 0.7872  4 Se 2.70-2.76
Ag 0.5318 0.5318 0.2128  4 Se 2.70-2.76
Pb 0.1299 0.1299 0.5764  7 Se 3.14-3.38
Pb 0.8701 0.8701 0.4236  7 Se 3.14-3.38
Se 0.0000 0.0000 0.0000  4 Ag 2.76, 2 Nd 2.97
Se 0.3178 0.3178 0.6605  1 Ag 2.74, 2 Nd 2.95
Se 0.3295 0.3295 0.1453  3 Nd 2.97-2.98, 2 Pb 3.15
Se 0.5000 0.5000 0.5000  2 Ag 2.70
Se 0.6705 0.6705 0.8547  3 Nd 2.97-2.98, 2 Pb 3.15
Se 0.6822 0.6822 0.3395  1 Ag 2.74, 2 Nd 2.95

The following is a PBE calculation of Al2Cu2Bi2S3Cl8 after structural relaxation, from the Open Quantum Materials Database.

Final energy ... -133.54 eV for the cell shown

Cell lengths 23.5274, 23.5274, 23.5274 Å; angles 16.12, 16.12, 16.12 degrees
With the nearest neighbours (Å) after each atom.
Element x y z (fractional)
Al 0.1408 0.1408 0.1408  4 Cl 2.11-2.17
Al 0.3592 0.3592 0.3592  4 Cl 2.11-2.17
Al 0.6408 0.6408 0.6408  4 Cl 2.11-2.17
Al 0.8592 0.8592 0.8592  4 Cl 2.11-2.17
Cu 0.0834 0.0834 0.0834  3 S 2.26
Cu 0.4166 0.4166 0.4166  3 S 2.26
Cu 0.5834 0.5834 0.5834  3 S 2.26
Cu 0.9166 0.9166 0.9166  3 S 2.26
Bi 0.2250 0.2250 0.2250  3 S 2.71
Bi 0.2750 0.2750 0.2750  3 S 2.71
Bi 0.7250 0.7250 0.7250  3 S 2.71
Bi 0.7750 0.7750 0.7750  3 S 2.71
S 0.0644 0.7500 0.4356  2 Cu 2.26
S 0.2500 0.5644 0.9356  2 Cu 2.26
S 0.4356 0.0644 0.7500  2 Cu 2.26
S 0.5644 0.9356 0.2500  2 Cu 2.26
S 0.7500 0.4356 0.0644  2 Cu 2.26
S 0.9356 0.2500 0.5644  2 Cu 2.26
Cl 0.1175 0.2887 0.7075  1 Al 2.17
Cl 0.1710 0.1710 0.1710  1 Al 2.11
Cl 0.2075 0.7887 0.6176  1 Al 2.17
Cl 0.2113 0.3825 0.7925  1 Al 2.17
Cl 0.2887 0.7075 0.1175  1 Al 2.17
Cl 0.2925 0.8824 0.7113  1 Al 2.17
Cl 0.3290 0.3290 0.3290  1 Al 2.11
Cl 0.3825 0.7925 0.2113  1 Al 2.17
Cl 0.6175 0.2075 0.7887  1 Al 2.17
Cl 0.6710 0.6710 0.6710  1 Al 2.11
Cl 0.7075 0.1175 0.2887  1 Al 2.17
Cl 0.7113 0.2925 0.8825  1 Al 2.17
Cl 0.7887 0.6176 0.2075  1 Al 2.17
Cl 0.7925 0.2113 0.3825  1 Al 2.17
Cl 0.8290 0.8290 0.8290  1 Al 2.11
Cl 0.8825 0.7113 0.2925  1 Al 2.17

The highest final energy belongs to which entry?
BaAgNO